# Gd3Ge4Sb4 | OQMD via LeMat-Bulk | PBE | optimized geometry
# Calculated volume, A^3/atom: 25.43
# E_tot, eV for the cell shown: -52.4
data_Gd3Ge4Sb4
_space_group_name_H-M_alt 'P 1'
_space_group_IT_number 1
_space_group_name_Hall 'P 1'
_cell_length_a 9.3211
_cell_length_b 9.3211
_cell_length_c 9.3211
_cell_angle_alpha 155.37
_cell_angle_beta 123.44
_cell_angle_gamma 62.61
loop_
_atom_site_label
_atom_site_fract_x
_atom_site_fract_y
_atom_site_fract_z
Gd1 0.0000 0.0000 0.0000
Gd2 0.3684 0.8684 0.5000
Gd3 0.6316 0.1316 0.5000
Ge1 0.0562 0.3208 0.7355
Ge2 0.4147 0.6792 0.7355
Ge3 0.5853 0.3208 0.2645
Ge4 0.9438 0.6792 0.2645
Sb1 0.1963 0.1963 0.0000
Sb2 0.2934 0.5000 0.7934
Sb3 0.7066 0.5000 0.2066
Sb4 0.8037 0.8037 0.0000